{
  "formula": "Co2CuNi2",
  "functional": "GGA-PBE",
  "state": "relaxed",
  "cell": [[2.506, 0.000, 0.000], [-1.253, 2.170, 0.000], [0.000, 0.000, 10.197]],
  "species": ["Co", "Co", "Cu", "Ni", "Ni"],
  "fractional_positions": [[0.333, 0.667, 0.404], [0.667, 0.333, 0.596], [0.000, 0.000, 0.000], [0.333, 0.667, 0.794], [0.667, 0.333, 0.206]],
  "dos_at_fermi_per_ev_atom": 0.902,
  "e_form_mev_per_atom": 1,
  "m_tot_mub_per_cell": 4.6,
  "e_above_lowest_polymorph_ev_per_atom": 0.0000,
  "density_g_cm3": 9.0
}


{
  "formula": "Li3Hg2Sb2",
  "functional": "GGA-PBE",
  "state": "relaxed",
  "cell": [[-4.295, 4.295, 4.295], [4.295, -4.295, 4.295], [4.295, 4.295, -4.295]],
  "species": ["Li", "Li", "Li", "Li", "Li", "Li", "Hg", "Hg", "Hg", "Hg", "Sb", "Sb", "Sb", "Sb"],
  "fractional_positions": [[0.164, 0.750, 0.914], [0.250, 0.586, 0.336], [0.336, 0.250, 0.586], [0.586, 0.336, 0.250], [0.750, 0.914, 0.164], [0.914, 0.164, 0.750], [0.000, 0.366, 0.500], [0.134, 0.134, 0.134], [0.366, 0.500, 0.000], [0.500, 0.000, 0.366], [0.000, 0.806, 0.500], [0.500, 0.000, 0.806], [0.694, 0.694, 0.694], [0.806, 0.500, 0.000]],
  "dos_at_fermi_per_ev_atom": 0.409,
  "m_tot_mub_per_cell": 0.0,
  "formation_energy_uncorrected_ev_per_fu": -1.80,
  "density_g_cm3": 7.0
}


{
  "formula": "Tb12ErTh5",
  "functional": "GGA-PBE",
  "state": "relaxed",
  "cell": [[7.536, -7.574, 0.000], [7.536, 7.574, 0.000], [0.000, 0.000, 5.061]],
  "species": ["Tb", "Tb", "Tb", "Tb", "Tb", "Tb", "Tb", "Tb", "Tb", "Tb", "Tb", "Tb", "Er", "Th", "Th", "Th", "Th", "Th"],
  "fractional_positions": [[0.005, 0.671, 0.500], [0.161, 0.161, 0.000], [0.171, 0.504, 0.000], [0.329, 0.995, 0.500], [0.335, 0.335, 0.500], [0.496, 0.829, 0.000], [0.504, 0.171, 0.000], [0.665, 0.665, 0.500], [0.671, 0.005, 0.500], [0.829, 0.496, 0.000], [0.839, 0.839, 0.000], [0.995, 0.329, 0.500], [0.500, 0.500, 0.000], [0.000, 0.000, 0.500], [0.168, 0.832, 0.000], [0.334, 0.666, 0.500], [0.666, 0.334, 0.500], [0.832, 0.168, 0.000]],
  "dos_at_fermi_per_ev_atom": 1.449,
  "e_form_mev_per_atom": 28,
  "m_tot_mub_per_cell": 0.0,
  "density_g_cm3": 9.3
}


{
  "formula": "Mg2Mn2Bi",
  "functional": "GGA-PBE",
  "state": "relaxed",
  "cell": [[8.071, 0.000, 0.000], [0.000, 8.071, 0.000], [0.000, 0.000, 3.187]],
  "species": ["Mg", "Mg", "Mg", "Mg", "Mn", "Mn", "Mn", "Mn", "Bi", "Bi"],
  "fractional_positions": [[0.127, 0.373, 0.000], [0.373, 0.873, 0.000], [0.627, 0.127, 0.000], [0.873, 0.627, 0.000], [0.167, 0.667, 0.500], [0.333, 0.167, 0.500], [0.667, 0.833, 0.500], [0.833, 0.333, 0.500], [0.000, 0.000, 0.000], [0.500, 0.500, 0.000]],
  "dos_at_fermi_per_ev_atom": 0.829,
  "e_form_mev_per_atom": 377,
  "m_tot_mub_per_cell": 15.0,
  "e_above_lowest_polymorph_ev_per_atom": 0.0283,
  "density_g_cm3": 5.9
}


What is the formula in the fourth record? Mg2Mn2Bi